# PBE Li3BP, relaxed
data_Li3BP
_space_group_name_H-M_alt 'P 1'
_space_group_IT_number 1
_cell_length_a 4.570
_cell_length_b 4.570
_cell_length_c 4.570
_cell_angle_alpha 90.00
_cell_angle_beta 90.00
_cell_angle_gamma 90.00
loop_
_space_group_symop_operation_xyz
'x,y,z'
loop_
_atom_site_label
_atom_site_fract_x
_atom_site_fract_y
_atom_site_fract_z
Li1 0.000 0.000 0.500
Li2 0.000 0.500 0.000
Li3 0.500 0.000 0.000
B1 0.500 0.500 0.500
P1 0.000 0.000 0.000
# Fermi-level density of states	0.4608	states/eV/atom
# total DFT energy (no corrections)	-2.99	eV/atom
# ΔE to the lowest computed polymorph	57	meV per atom
# formation enthalpy at 0 K	580	meV/atom



# PBE AcLuTl2, relaxed
data_AcLuTl2
_space_group_name_H-M_alt 'P 1'
_space_group_IT_number 1
_cell_length_a 3.862
_cell_length_b 3.862
_cell_length_c 8.132
_cell_angle_alpha 90.00
_cell_angle_beta 90.00
_cell_angle_gamma 90.00
loop_
_space_group_symop_operation_xyz
'x,y,z'
loop_
_atom_site_label
_atom_site_fract_x
_atom_site_fract_y
_atom_site_fract_z
Lu1 0.500 0.500 0.000
Ac1 0.500 0.500 0.500
Tl1 0.000 0.000 0.782
Tl2 0.000 0.000 0.218
# Fermi-level density of states	0.8921	states/eV/atom
# total DFT energy (no corrections)	-3.65	eV/atom
# formation enthalpy at 0 K	-305	meV/atom



# PBE CrTeP, relaxed
data_CrTeP
_space_group_name_H-M_alt 'P 1'
_space_group_IT_number 1
_cell_length_a 4.382
_cell_length_b 4.382
_cell_length_c 4.382
_cell_angle_alpha 60.00
_cell_angle_beta 60.00
_cell_angle_gamma 60.00
loop_
_space_group_symop_operation_xyz
'x,y,z'
loop_
_atom_site_label
_atom_site_fract_x
_atom_site_fract_y
_atom_site_fract_z
Te1 0.500 0.500 0.500
Cr1 0.750 0.750 0.750
P1 0.000 0.000 0.000
# Fermi-level density of states	0.5723	states/eV/atom
# total DFT energy (no corrections)	-5.89	eV/atom
# formation energy from raw total energies	0.52	eV/f.u.
# ΔE to the lowest computed polymorph	180	meV per atom



# PBE Cs2HoAsS4, relaxed
data_Cs2HoAsS4
_space_group_name_H-M_alt 'P 1'
_space_group_IT_number 1
_cell_length_a 6.666
_cell_length_b 8.091
_cell_length_c 13.186
_cell_angle_alpha 84.02
_cell_angle_beta 75.36
_cell_angle_gamma 65.67
loop_
_space_group_symop_operation_xyz
'x,y,z'
loop_
_atom_site_label
_atom_site_fract_x
_atom_site_fract_y
_atom_site_fract_z
As1 0.500 0.000 0.000
As2 0.250 0.500 0.500
Cs1 0.930 0.500 0.140
Cs2 0.180 0.000 0.640
Cs3 0.820 0.000 0.360
Cs4 0.570 0.500 0.860
S1 0.214 0.190 0.900
S2 0.303 0.810 0.100
S3 0.597 0.190 0.100
S4 0.536 0.310 0.600
S5 0.887 0.810 0.900
S6 0.153 0.310 0.400
S7 0.447 0.690 0.400
S8 0.863 0.690 0.600
Ho1 0.750 0.500 0.500
Ho2 0.000 0.000 0.000
# Fermi-level density of states	0.0000	states/eV/atom
# total DFT energy (no corrections)	-4.49	eV/atom
# formation energy from raw total energies	-8.46	eV/f.u.



# PBE Th6CoHg, relaxed
data_Th6CoHg
_space_group_name_H-M_alt 'P 1'
_space_group_IT_number 1
_cell_length_a 6.378
_cell_length_b 8.081
_cell_length_c 6.377
_cell_angle_alpha 50.68
_cell_angle_beta 78.67
_cell_angle_gamma 71.93
loop_
_space_group_symop_operation_xyz
'x,y,z'
loop_
_atom_site_label
_atom_site_fract_x
_atom_site_fract_y
_atom_site_fract_z
Th1 0.795 0.204 0.391
Th2 0.795 0.596 0.609
Th3 0.205 0.404 0.391
Th4 0.403 0.205 0.000
Th5 0.205 0.796 0.609
Th6 0.597 0.795 0.000
Hg1 0.000 0.000 0.000
Co1 0.500 0.500 0.000
# Fermi-level density of states	1.1209	states/eV/atom
# total DFT energy (no corrections)	-6.49	eV/atom
# formation enthalpy at 0 K	5	meV/atom



# PBE RbNaPb, relaxed
data_RbNaPb
_space_group_name_H-M_alt 'P 1'
_space_group_IT_number 1
_cell_length_a 3.671
_cell_length_b 5.997
_cell_length_c 5.997
_cell_angle_alpha 120.00
_cell_angle_beta 90.00
_cell_angle_gamma 90.00
loop_
_space_group_symop_operation_xyz
'x,y,z'
loop_
_atom_site_label
_atom_site_fract_x
_atom_site_fract_y
_atom_site_fract_z
Na1 0.197 0.333 0.667
Rb1 0.660 0.667 0.333
Pb1 0.143 0.000 0.000
# Fermi-level density of states	0.7342	states/eV/atom
# total DFT energy (no corrections)	-2.03	eV/atom
# ΔE to the lowest computed polymorph	98	meV per atom
# formation enthalpy at 0 K	-33	meV/atom



# PBE Ca3Pr2Ir2, relaxed
data_Ca3Pr2Ir2
_space_group_name_H-M_alt 'P 1'
_space_group_IT_number 1
_cell_length_a 4.119
_cell_length_b 6.690
_cell_length_c 8.753
_cell_angle_alpha 106.52
_cell_angle_beta 103.61
_cell_angle_gamma 107.93
loop_
_space_group_symop_operation_xyz
'x,y,z'
loop_
_atom_site_label
_atom_site_fract_x
_atom_site_fract_y
_atom_site_fract_z
Pr1 0.349 0.517 0.181
Pr2 0.651 0.483 0.819
Ir1 0.987 0.170 0.803
Ir2 0.013 0.830 0.197
Ca1 0.203 0.835 0.570
Ca2 0.797 0.165 0.430
Ca3 0.500 0.000 0.000
# Fermi-level density of states	0.3744	states/eV/atom
# total DFT energy (no corrections)	-5.17	eV/atom
# formation enthalpy at 0 K	-417	meV/atom



# PBE Na3PuZr2Te6, relaxed
data_Na3PuZr2Te6
_space_group_name_H-M_alt 'P 1'
_space_group_IT_number 1
_cell_length_a 7.366
_cell_length_b 7.366
_cell_length_c 8.081
_cell_angle_alpha 98.77
_cell_angle_beta 98.77
_cell_angle_gamma 120.15
loop_
_space_group_symop_operation_xyz
'x,y,z'
loop_
_atom_site_label
_atom_site_fract_x
_atom_site_fract_y
_atom_site_fract_z
Na1 0.500 0.500 0.500
Na2 0.160 0.840 0.500
Na3 0.840 0.160 0.500
Te1 0.574 0.923 0.770
Te2 0.077 0.426 0.230
Te3 0.726 0.726 0.227
Te4 0.274 0.274 0.773
Te5 0.923 0.574 0.770
Te6 0.426 0.077 0.230
Zr1 0.669 0.331 0.000
Zr2 0.331 0.669 0.000
Pu1 0.000 0.000 0.000
# Fermi-level density of states	1.3670	states/eV/atom
# total DFT energy (no corrections)	-5.47	eV/atom
# formation energy from raw total energies	-11.42	eV/f.u.



# PBE Ag4SnAu, relaxed
data_Ag4SnAu
_space_group_name_H-M_alt 'P 1'
_space_group_IT_number 1
_cell_length_a 3.118
_cell_length_b 4.818
_cell_length_c 7.750
_cell_angle_alpha 90.00
_cell_angle_beta 101.29
_cell_angle_gamma 90.00
loop_
_space_group_symop_operation_xyz
'x,y,z'
loop_
_atom_site_label
_atom_site_fract_x
_atom_site_fract_y
_atom_site_fract_z
Au1 0.613 0.003 0.472
Ag1 0.945 0.003 0.141
Ag2 0.276 0.003 0.798
Ag3 0.726 0.503 0.695
Ag4 0.065 0.503 0.373
Sn1 0.394 0.503 0.032
# Fermi-level density of states	0.2333	states/eV/atom
# total DFT energy (no corrections)	-3.11	eV/atom
# ΔE to the lowest computed polymorph	0	meV per atom
# formation enthalpy at 0 K	4	meV/atom



# PBE BaLa2Rh, relaxed
data_BaLa2Rh
_space_group_name_H-M_alt 'P 1'
_space_group_IT_number 1
_cell_length_a 4.255
_cell_length_b 4.255
_cell_length_c 10.419
_cell_angle_alpha 78.22
_cell_angle_beta 78.22
_cell_angle_gamma 60.00
loop_
_space_group_symop_operation_xyz
'x,y,z'
loop_
_atom_site_label
_atom_site_fract_x
_atom_site_fract_y
_atom_site_fract_z
La1 0.049 0.049 0.852
La2 0.283 0.283 0.150
Ba1 0.501 0.501 0.496
Rh1 0.666 0.666 0.002
# Fermi-level density of states	1.0198	states/eV/atom
# total DFT energy (no corrections)	-5.20	eV/atom
# ΔE to the lowest computed polymorph	0	meV per atom
# formation enthalpy at 0 K	-415	meV/atom



# PBE BaLaCu10, relaxed
data_BaLaCu10
_space_group_name_H-M_alt 'P 1'
_space_group_IT_number 1
_cell_length_a 4.018
_cell_length_b 5.387
_cell_length_c 9.237
_cell_angle_alpha 90.00
_cell_angle_beta 90.00
_cell_angle_gamma 90.00
loop_
_space_group_symop_operation_xyz
'x,y,z'
loop_
_atom_site_label
_atom_site_fract_x
_atom_site_fract_y
_atom_site_fract_z
Cu1 0.500 0.257 0.738
Cu2 0.500 0.000 0.500
Cu3 0.000 0.500 0.175
Cu4 0.500 0.743 0.738
Cu5 0.500 0.743 0.262
Cu6 0.000 0.000 0.660
Cu7 0.000 0.000 0.340
Cu8 0.500 0.257 0.262
Cu9 0.500 0.500 0.000
Cu10 0.000 0.500 0.825
La1 0.000 0.500 0.500
Ba1 0.000 0.000 0.000
# Fermi-level density of states	0.4569	states/eV/atom
# total DFT energy (no corrections)	-4.05	eV/atom
# formation enthalpy at 0 K	-65	meV/atom



# PBE PrSm2Tm2, relaxed
data_PrSm2Tm2
_space_group_name_H-M_alt 'P 1'
_space_group_IT_number 1
_cell_length_a 5.805
_cell_length_b 7.082
_cell_length_c 9.372
_cell_angle_alpha 112.20
_cell_angle_beta 108.04
_cell_angle_gamma 90.00
loop_
_space_group_symop_operation_xyz
'x,y,z'
loop_
_atom_site_label
_atom_site_fract_x
_atom_site_fract_y
_atom_site_fract_z
Sm1 0.810 0.807 0.120
Sm2 0.190 0.686 0.880
Sm3 0.810 0.314 0.120
Sm4 0.190 0.193 0.880
Tm1 0.000 0.750 0.500
Tm2 0.000 0.250 0.500
Tm3 0.616 0.366 0.732
Tm4 0.384 0.634 0.268
Pr1 0.614 0.864 0.728
Pr2 0.386 0.136 0.272
# Fermi-level density of states	1.6449	states/eV/atom
# total DFT energy (no corrections)	-4.50	eV/atom
# ΔE to the lowest computed polymorph	53	meV per atom
# formation enthalpy at 0 K	132	meV/atom



# PBE SrPrSc, relaxed
data_SrPrSc
_space_group_name_H-M_alt 'P 1'
_space_group_IT_number 1
_cell_length_a 3.782
_cell_length_b 3.782
_cell_length_c 8.060
_cell_angle_alpha 103.57
_cell_angle_beta 103.57
_cell_angle_gamma 90.00
loop_
_space_group_symop_operation_xyz
'x,y,z'
loop_
_atom_site_label
_atom_site_fract_x
_atom_site_fract_y
_atom_site_fract_z
Pr1 0.314 0.314 0.627
Sc1 0.679 0.679 0.358
Sr1 0.007 0.007 0.015
# Fermi-level density of states	1.6579	states/eV/atom
# total DFT energy (no corrections)	-4.09	eV/atom
# formation enthalpy at 0 K	169	meV/atom



# PBE AlTcNF2, relaxed
data_AlTcNF2
_space_group_name_H-M_alt 'P 1'
_space_group_IT_number 1
_cell_length_a 4.293
_cell_length_b 4.293
_cell_length_c 3.801
_cell_angle_alpha 90.00
_cell_angle_beta 90.00
_cell_angle_gamma 90.00
loop_
_space_group_symop_operation_xyz
'x,y,z'
loop_
_atom_site_label
_atom_site_fract_x
_atom_site_fract_y
_atom_site_fract_z
F1 0.500 0.000 0.000
F2 0.000 0.500 0.000
Al1 0.500 0.500 0.500
Tc1 0.000 0.000 0.000
N1 0.000 0.000 0.500
# Fermi-level density of states	0.6741	states/eV/atom
# total DFT energy (no corrections)	-5.82	eV/atom
# formation energy from raw total energies	-2.91	eV/f.u.
# ΔE to the lowest computed polymorph	337	meV per atom



# PBE Sr2GaPbAu6, relaxed
data_Sr2GaPbAu6
_space_group_name_H-M_alt 'P 1'
_space_group_IT_number 1
_cell_length_a 9.074
_cell_length_b 6.251
_cell_length_c 6.197
_cell_angle_alpha 59.64
_cell_angle_beta 70.53
_cell_angle_gamma 90.14
loop_
_space_group_symop_operation_xyz
'x,y,z'
loop_
_atom_site_label
_atom_site_fract_x
_atom_site_fract_y
_atom_site_fract_z
Au1 0.727 0.744 0.515
Au2 0.727 0.741 0.018
Au3 0.272 0.757 0.982
Au4 0.273 0.256 0.485
Au5 0.728 0.243 0.018
Au6 0.273 0.259 0.982
Sr1 0.388 0.796 0.406
Sr2 0.612 0.204 0.594
Ga1 0.500 0.500 0.000
Pb1 0.000 0.000 0.000
# Fermi-level density of states	0.3560	states/eV/atom
# total DFT energy (no corrections)	-3.34	eV/atom
# formation enthalpy at 0 K	-364	meV/atom



# PBE TiGePd2I, relaxed
data_TiGePd2I
_space_group_name_H-M_alt 'P 1'
_space_group_IT_number 1
_cell_length_a 4.862
_cell_length_b 5.570
_cell_length_c 4.862
_cell_angle_alpha 90.00
_cell_angle_beta 90.00
_cell_angle_gamma 90.00
loop_
_space_group_symop_operation_xyz
'x,y,z'
loop_
_atom_site_label
_atom_site_fract_x
_atom_site_fract_y
_atom_site_fract_z
Pd1 0.000 0.000 0.500
Pd2 0.500 0.000 0.000
Ti1 0.500 0.500 0.500
I1 0.000 0.000 0.000
Ge1 0.000 0.500 0.000
# Fermi-level density of states	1.5103	states/eV/atom
# total DFT energy (no corrections)	-3.81	eV/atom
# formation energy from raw total energies	5.39	eV/f.u.



# PBE KLi2Pt, relaxed
data_KLi2Pt
_space_group_name_H-M_alt 'P 1'
_space_group_IT_number 1
_cell_length_a 10.732
_cell_length_b 10.732
_cell_length_c 10.732
_cell_angle_alpha 16.73
_cell_angle_beta 16.73
_cell_angle_gamma 16.73
loop_
_space_group_symop_operation_xyz
'x,y,z'
loop_
_atom_site_label
_atom_site_fract_x
_atom_site_fract_y
_atom_site_fract_z
Li1 0.524 0.524 0.524
Li2 0.976 0.976 0.976
Pt1 0.250 0.250 0.250
K1 0.750 0.750 0.750
# Fermi-level density of states	0.3788	states/eV/atom
# total DFT energy (no corrections)	-2.64	eV/atom
# formation enthalpy at 0 K	98	meV/atom



# PBE CuGeAs, relaxed
data_CuGeAs
_space_group_name_H-M_alt 'P 1'
_space_group_IT_number 1
_cell_length_a 3.629
_cell_length_b 3.629
_cell_length_c 4.713
_cell_angle_alpha 112.65
_cell_angle_beta 112.65
_cell_angle_gamma 90.00
loop_
_space_group_symop_operation_xyz
'x,y,z'
loop_
_atom_site_label
_atom_site_fract_x
_atom_site_fract_y
_atom_site_fract_z
Ge1 0.625 0.625 0.251
Cu1 0.951 0.951 0.901
As1 0.274 0.274 0.548
# Fermi-level density of states	0.3001	states/eV/atom
# total DFT energy (no corrections)	-4.17	eV/atom
# ΔE to the lowest computed polymorph	192	meV per atom
# formation enthalpy at 0 K	287	meV/atom



# PBE La8Hg4Ir3Pd, relaxed
data_La8Hg4Ir3Pd
_space_group_name_H-M_alt 'P 1'
_space_group_IT_number 1
_cell_length_a 8.405
_cell_length_b 9.333
_cell_length_c 8.416
_cell_angle_alpha 116.93
_cell_angle_beta 119.91
_cell_angle_gamma 90.00
loop_
_space_group_symop_operation_xyz
'x,y,z'
loop_
_atom_site_label
_atom_site_fract_x
_atom_site_fract_y
_atom_site_fract_z
Pd1 0.000 0.500 0.000
Hg1 0.000 0.000 0.500
Hg2 0.500 0.000 0.000
Hg3 0.500 0.000 0.500
Hg4 0.000 0.000 0.000
La1 0.761 0.297 0.037
La2 0.734 0.701 0.467
La3 0.724 0.703 0.963
La4 0.276 0.297 0.037
La5 0.240 0.703 0.479
La6 0.266 0.299 0.533
La7 0.760 0.297 0.521
La8 0.239 0.703 0.963
Ir1 0.500 0.500 0.000
Ir2 0.000 0.500 0.500
Ir3 0.500 0.500 0.500
# Fermi-level density of states	0.9329	states/eV/atom
# total DFT energy (no corrections)	-5.17	eV/atom
# formation enthalpy at 0 K	-645	meV/atom